11
Lattice="3.465 0.000 0.000 0.000 8.792 -0.144 0.000 1.149 11.534" Properties=species:S:1:pos:R:3 comment="Dy4Tm2Th5 | Alexandria via LeMat-Bulk | PBE-GGA | relaxed" n_ef_per_ev_cell=17.41 e_form_kj_per_mol_atoms=12 pbc="T T T"
Dy 1.733 8.412 10.236
Th 0.000 7.211 1.875
Th 0.000 4.396 -0.072
Th 0.000 4.123 3.304
Th 0.000 2.730 9.515
Dy 1.733 6.771 5.048
Dy 1.733 1.528 1.154
Dy 1.733 3.170 6.342
Tm 0.000 9.008 7.201
Tm 0.000 0.933 4.189
Th 0.000 5.818 8.086